Cs2HgOs2 | PBE | relaxed

Cell lengths 7.121, 7.121, 6.394 Å; angles 56.16, 56.16, 90.00 degrees
Last column: magnetic moment on the atom in μB.
Positions (direct):
Cs (0.250, 0.750, 0.500)  0.02
Cs (0.750, 0.250, 0.500)  0.02
Os (0.643, 0.643, 0.714)  1.56
Os (0.357, 0.357, 0.286)  1.56
Hg (0.000, 0.000, 0.000)  0.04

Summary:
The value obtained for the formation energy is 1.435 eV per atom.

Cs2HgOs | PBE | relaxed

Cell lengths 6.128, 6.128, 6.128 Å; angles 60.00, 60.00, 60.00 degrees
Last column: magnetic moment on the atom in μB.
Positions (direct):
Cs (0.750, 0.750, 0.750)  0.00
Cs (0.250, 0.250, 0.250)  0.00
Hg (0.500, 0.500, 0.500)  -0.03
Os (0.000, 0.000, 0.000)  2.08

Summary:
The value obtained for the formation energy is 1.213 eV per atom.

Cs3HgOs | PBE | relaxed

Cell lengths 6.227, 6.227, 6.227 Å; angles 90.00, 90.00, 90.00 degrees
Last column: magnetic moment on the atom in μB.
Positions (direct):
Cs (0.000, 0.000, 0.500)  0.00
Cs (0.500, 0.000, 0.000)  0.01
Cs (0.000, 0.500, 0.000)  0.00
Os (0.000, 0.000, 0.000)  0.19
Hg (0.500, 0.500, 0.500)  0.00

Summary:
The value obtained for the formation energy is 0.988 eV per atom.

CsHgOs3 | PBE | relaxed

Cell lengths 5.005, 5.005, 5.005 Å; angles 90.00, 90.00, 90.00 degrees
Last column: magnetic moment on the atom in μB.
Positions (direct):
Os (0.500, 0.000, 0.000)  1.45
Os (0.000, 0.500, 0.000)  1.57
Os (0.000, 0.000, 0.500)  1.42
Hg (0.500, 0.500, 0.500)  0.01
Cs (0.000, 0.000, 0.000)  0.01

Summary:
The value obtained for the formation energy is 3.891 eV per atom.

Cs2HgOs | PBE | relaxed

Cell lengths 9.940, 9.940, 9.940 Å; angles 60.00, 60.00, 60.00 degrees
Last column: magnetic moment on the atom in μB.
Positions (direct):
Hg (0.500, 0.500, 0.500)  0.00
Hg (0.750, 0.750, 0.750)  0.00
Os (0.000, 0.000, 0.000)  1.54
Os (0.250, 0.250, 0.250)  1.54
Cs (0.125, 0.125, 0.625)  0.03
Cs (0.125, 0.625, 0.125)  0.03
Cs (0.125, 0.125, 0.125)  0.03
Cs (0.625, 0.125, 0.125)  0.03

Summary:
The value obtained for the formation energy is 1.441 eV per atom.

CsHg2Os2 | PBE | relaxed

Cell lengths 3.542, 3.542, 11.097 Å; angles 80.82, 80.82, 90.00 degrees
Positions (direct):
Cs (0.000, 0.000, 0.000)
Os (0.250, 0.750, 0.500)
Os (0.750, 0.250, 0.500)
Hg (0.369, 0.369, 0.262)
Hg (0.631, 0.631, 0.738)

Summary:
The value obtained for the formation energy is 0.708 eV per atom.

CsHg2Os2 | PBE | relaxed

Cell lengths 8.870, 8.870, 2.986 Å; angles 90.00, 90.00, 90.00 degrees
Positions (direct):
Hg (0.808, 0.308, 0.500)
Hg (0.692, 0.808, 0.500)
Hg (0.308, 0.192, 0.500)
Hg (0.192, 0.692, 0.500)
Cs (0.000, 0.000, 0.000)
Cs (0.500, 0.500, 0.000)
Os (0.909, 0.591, 0.000)
Os (0.591, 0.091, 0.000)
Os (0.091, 0.409, 0.000)
Os (0.409, 0.909, 0.000)

Summary:
The value obtained for the formation energy is 1.006 eV per atom.

CsHg2TeOs | PBE | relaxed

Cell lengths 6.722, 5.723, 6.722 Å; angles 90.00, 90.00, 90.00 degrees
Last column: magnetic moment on the atom in μB.
Positions (direct):
Hg (0.500, 0.000, 0.000)  0.03
Hg (0.000, 0.000, 0.500)  0.02
Te (0.500, 0.500, 0.500)  0.66
Cs (0.000, 0.000, 0.000)  0.01
Os (0.000, 0.500, 0.000)  2.39

Summary:
The total energy comes out at -1.43 eV per atom.

CsZr2HgOs | PBE | relaxed

Cell lengths 5.039, 7.396, 5.039 Å; angles 90.00, 90.00, 90.00 degrees
Positions (direct):
Cs (0.000, 0.500, 0.000)
Zr (0.500, 0.000, 0.000)
Zr (0.000, 0.000, 0.500)
Hg (0.500, 0.500, 0.500)
Os (0.000, 0.000, 0.000)

Summary:
The value obtained for the formation energy is 0.759 eV per atom.

Cs4Hg2P | PBE | relaxed

Cell lengths 7.213, 7.213, 10.317 Å; angles 69.54, 69.54, 90.00 degrees
Positions (direct):
Cs (0.816, 0.816, 0.367)
Cs (0.500, 0.000, 0.000)
Cs (0.000, 0.500, 0.000)
Cs (0.184, 0.184, 0.633)
Hg (0.408, 0.408, 0.184)
Hg (0.592, 0.592, 0.816)
P (0.000, 0.000, 0.000)

Summary:
The value obtained for the formation energy is -0.102 eV per atom.

CsHgP | PBE | relaxed

Cell lengths 5.785, 4.491, 4.491 Å; angles 120.00, 90.00, 90.00 degrees
Positions (direct):
Hg (0.167, 0.333, 0.667)
P (0.166, 0.000, 0.000)
Cs (0.667, 0.667, 0.333)

Summary:
The value obtained for the formation energy is -0.256 eV per atom.

CsHgP | PBE | relaxed

Cell lengths 6.445, 6.445, 9.451 Å; angles 90.00, 90.00, 120.00 degrees
Positions (direct):
Cs (0.333, 0.667, 0.250)
Cs (0.667, 0.333, 0.750)
P (0.000, 0.000, 0.000)
P (0.000, 0.000, 0.500)
Hg (0.000, 0.000, 0.750)
Hg (0.000, 0.000, 0.250)

Summary:
The value obtained for the formation energy is 0.090 eV per atom.

no.,calculated volume (Å³/atom)
1,40.0
2,40.7
3,48.3
4,25.1
5,86.8
6,27.1
7,23.5
8,51.7
9,37.6
10,66.7
11,33.7
12,56.7